No. 1
Compound: Pt2SBr2
Source: Alexandria
Functional: PBE
Structure: optimized geometry

Crystal system: tetragonal
Size of the total moment: 2.461 μB per formula unit
Total energy: -14.5 eV for the cell shown
Raw formation energy: 488 kJ/mol of formula units

Cell: 4.9397 4.9397 5.2939 Å, 90.00 90.00 90.00°
With the nearest neighbours (Å) after each atom.
Element x y z (fractional)
S  0.5000  0.5000  0.5000  4 Pt 3.49, 8 Br 3.62
Br  0.0000  0.5000  0.0000  2 Pt 2.47
Br  0.5000  0.0000  0.0000  2 Pt 2.47
Pt  0.0000  0.0000  0.0000  4 Br 2.47, 2 Pt 2.65
Pt  0.0000  0.0000  0.5000  2 Pt 2.65

---

No. 2
Compound: PtS2Br
Source: Alexandria
Functional: PBE
Structure: optimized geometry

Crystal system: tetragonal
Size of the total moment: 0.000 μB per formula unit
ΔE to the lowest computed polymorph: 0.371 eV per atom
Total energy: -30.2 eV for the cell shown
Raw formation energy: 86 kJ/mol of formula units

Cell: 6.6589 6.6589 6.3798 Å, 58.54 58.54 90.00°
With the nearest neighbours (Å) after each atom.
Element x y z (fractional)
S  0.7060  0.1250  0.2500  2 Pt 2.28
S  0.0440  0.6250  0.2500  2 Pt 2.28
S  0.3750  0.2940  0.7500  2 Pt 2.28
S  0.8750  0.9560  0.7500  2 Pt 2.28
Br  0.5000  0.5000  0.0000  4 S 2.96
Br  0.2500  0.7500  0.5000  4 S 2.96
Pt  0.0000  0.0000  0.0000  4 S 2.28
Pt  0.7500  0.2500  0.5000  4 S 2.28

---

Number 1: theoretical density 7.48 g/cm3. Number 2: theoretical density 5.90 g/cm3.